# TiCrCl3

TiCrCl3 after structural relaxation (GGA-PBE, the Alexandria database).

Calculated values
- spin magnetization (μB/f.u.) = 7.0
- symmetry = Pm-3m (221)
- polymorph energy (0 for the lowest one) (meV per atom) = 0
- D(E_F) (states/eV/cell) = 5.23

a b c (Å): 4.913 4.913 4.913
angles (deg): 90.00 90.00 90.00
Atoms (fractional coordinates):
Cr (0.500, 0.500, 0.500)
Cl (0.000, 0.500, 0.000)
Cl (0.000, 0.000, 0.500)
Cl (0.500, 0.000, 0.000)
Ti (0.000, 0.000, 0.000)

---

# Tl2MoOs

Tl2MoOs after structural relaxation (GGA-PBE, the Alexandria database).

Calculated values
- spin magnetization (μB/f.u.) = 0.0
- symmetry = R-3m (166)
- polymorph energy (0 for the lowest one) (meV per atom) = 598
- D(E_F) (states/eV/cell) = 3.70

a b c (Å): 9.339 9.339 9.339
angles (deg): 19.01 19.01 19.01
Atoms (fractional coordinates):
Mo (0.250, 0.250, 0.250)
Os (0.750, 0.750, 0.750)
Tl (0.002, 0.002, 0.002)
Tl (0.498, 0.498, 0.498)

---

# Er2Tm2Mg

Er2Tm2Mg after structural relaxation (GGA-PBE, the Alexandria database).

Calculated values
- spin magnetization (μB/f.u.) = 0.0
- symmetry = P6_3mc (186)
- polymorph energy (0 for the lowest one) (meV per atom) = 112
- D(E_F) (states/eV/cell) = 12.84

a b c (Å): 5.399 5.400 11.703
angles (deg): 90.00 90.00 119.99
Atoms (fractional coordinates):
Er (0.166, 0.333, 0.247)
Er (0.167, 0.334, 0.901)
Er (0.834, 0.667, 0.747)
Er (0.833, 0.666, 0.401)
Tm (0.833, 0.666, 0.095)
Tm (0.500, 0.001, 0.747)
Tm (0.167, 0.334, 0.595)
Tm (0.500, 0.999, 0.247)
Mg (0.500, 0.000, 0.997)
Mg (0.500, 0.000, 0.497)

---

# LiRuBr2

LiRuBr2 after structural relaxation (GGA-PBE, the Alexandria database).

Calculated values
- spin magnetization (μB/f.u.) = 1.4
- symmetry = Amm2 (38)
- polymorph energy (0 for the lowest one) (meV per atom) = 0
- D(E_F) (states/eV/cell) = 2.70

a b c (Å): 5.096 4.145 4.152
angles (deg): 74.46 90.00 90.00
Atoms (fractional coordinates):
Br (0.000, 0.872, 0.872)
Br (0.500, 0.366, 0.366)
Li (0.000, 0.490, 0.489)
Ru (0.500, 0.773, 0.773)

---

# LaFeAg2

LaFeAg2 after structural relaxation (GGA-PBE, the Alexandria database).

Calculated values
- total energy (eV per atom) = -4.565
- spin magnetization (μB/f.u.) = 2.1
- symmetry = P2/m (10)
- D(E_F) (states/eV/cell) = 3.58

a b c (Å): 4.750 3.464 5.389
angles (deg): 72.92 90.00 90.00
Atoms (fractional coordinates):
Ag (0.000, 0.101, 0.036)
Ag (0.000, 0.399, 0.464)
Fe (0.500, 0.250, 0.250)
La (0.500, 0.750, 0.750)

---

# ZnFeRu2

ZnFeRu2 after structural relaxation (GGA-PBE, the Alexandria database).

Calculated values
- total energy (eV per atom) = -6.959
- spin magnetization (μB/f.u.) = 2.4
- symmetry = I-4m2 (119)
- D(E_F) (states/eV/cell) = 4.59

a b c (Å): 4.715 4.715 4.715
angles (deg): 133.93 133.93 67.20
Atoms (fractional coordinates):
Fe (0.750, 0.250, 0.500)
Ru (0.000, 0.000, 0.000)
Ru (0.250, 0.750, 0.500)
Zn (0.500, 0.500, 0.000)